# VSiN2F, optimized geometry, DFT PBE+U
data_VSiN2F
_chemical_formula_sum 'V1 Si1 N2 F1'
_cell_length_a 3.668
_cell_length_b 3.668
_cell_length_c 3.472
_cell_angle_alpha 90.00
_cell_angle_beta 90.00
_cell_angle_gamma 90.00
_space_group_name_H-M_alt 'P 4/m m m'
_space_group_IT_number 123
_space_group_name_Hall '-P 4 2'
loop_
_atom_site_label
_atom_site_type_symbol
_atom_site_fract_x
_atom_site_fract_y
_atom_site_fract_z
V1 V 0.000 0.000 0.000
Si1 Si 0.500 0.500 0.500
N1 N 0.000 0.500 0.500
F1 F 0.500 0.500 0.000
# Crystal system: tetragonal
# Uncorrected energy in eV per atom: -6.75
# Total magnetization in μB/cell: 2.2